Record 1
A geometry-optimized TaBiNO structure, computed with PBE.

Cell and atoms, written as CIF:
```
data_TaBiNO
_cell_length_a 6.4589
_cell_length_b 7.6422
_cell_length_c 5.1494
_cell_angle_alpha 90.00
_cell_angle_beta 90.00
_cell_angle_gamma 90.00
_space_group_name_H-M_alt 'P c a 21'
_space_group_IT_number 29
_space_group_name_Hall 'P 2c -2ac'
loop_
_atom_site_label
_atom_site_type_symbol
_atom_site_fract_x
_atom_site_fract_y
_atom_site_fract_z
Ta1 Ta 0.1313 0.1520 0.0000
Bi1 Bi 0.0480 0.6673 0.9923
N1 N 0.0095 0.3777 0.0072
O1 O 0.1138 0.9839 0.6685
```

Computed properties:
As for the offset from the most stable computed form: 334 meV/atom.

=====

Record 2
A geometry-optimized TaBiNO structure, computed with PBE.

Cell and atoms, written as CIF:
```
data_TaBiNO
_cell_length_a 4.1491
_cell_length_b 4.1491
_cell_length_c 8.1724
_cell_angle_alpha 90.00
_cell_angle_beta 90.00
_cell_angle_gamma 90.00
_space_group_name_H-M_alt 'P 4/n m m'
_space_group_IT_number 129
loop_
_space_group_symop_operation_xyz
'x,y,z'
'-x,-y,-z'
'-y+1/2,x,z'
'y+1/2,-x,-z'
'-x+1/2,-y+1/2,z'
'x+1/2,y+1/2,-z'
'y,-x+1/2,z'
'-y,x+1/2,-z'
'x+1/2,-y,-z'
'-x+1/2,y,z'
'-y,-x,-z'
'y,x,z'
'-x,y+1/2,-z'
'x,-y+1/2,z'
'y+1/2,x+1/2,-z'
'-y+1/2,-x+1/2,z'
loop_
_atom_site_label
_atom_site_type_symbol
_atom_site_fract_x
_atom_site_fract_y
_atom_site_fract_z
Ta1 Ta 0.2500 0.7500 0.0000
Bi1 Bi 0.2500 0.2500 0.3539
N1 N 0.2500 0.2500 0.9906
O1 O 0.2500 0.7500 0.5000
```

Computed properties:
As for the offset from the most stable computed form: 362 meV/atom.

=====

Record 3
A geometry-optimized TmBiN2O structure, computed with PBE.

Cell and atoms, written as CIF:
```
data_TmBiN2O
_cell_length_a 6.5886
_cell_length_b 6.5886
_cell_length_c 12.0854
_cell_angle_alpha 90.00
_cell_angle_beta 90.00
_cell_angle_gamma 120.00
_space_group_name_H-M_alt 'P 63 c m'
_space_group_IT_number 185
_space_group_name_Hall 'P 6c -2'
loop_
_atom_site_label
_atom_site_type_symbol
_atom_site_fract_x
_atom_site_fract_y
_atom_site_fract_z
Tm1 Tm 0.0000 0.0000 0.0000
Tm2 Tm 0.3333 0.6667 0.4706
Bi1 Bi 0.0000 0.3333 0.2350
N1 N 0.0000 0.3083 0.4047
N2 N 0.0000 0.3628 0.0669
O1 O 0.0000 0.0000 0.1978
O2 O 0.3333 0.6667 0.2678
```

Computed properties:
The calculation puts the energy at -6.606 eV per atom.

=====

Record 4
A geometry-optimized TmBiN2O structure, computed with PBE.

Cell and atoms, written as CIF:
```
data_TmBiN2O
_cell_length_a 5.8659
_cell_length_b 4.0059
_cell_length_c 6.2455
_cell_angle_alpha 90.00
_cell_angle_beta 90.00
_cell_angle_gamma 90.00
_space_group_name_H-M_alt 'P m m a'
_space_group_IT_number 51
_space_group_name_Hall '-P 2a 2a'
loop_
_atom_site_label
_atom_site_type_symbol
_atom_site_fract_x
_atom_site_fract_y
_atom_site_fract_z
Tm1 Tm 0.2500 0.0000 0.1834
Bi1 Bi 0.2500 0.5000 0.7292
N1 N 0.0000 0.5000 0.5000
N2 N 0.2500 0.0000 0.8357
O1 O 0.0000 0.5000 0.0000
```

Computed properties:
The calculation puts the energy at -6.174 eV per atom.

=====

Record 5
A geometry-optimized TmBiN2O structure, computed with PBE.

Cell and atoms, written as CIF:
```
data_TmBiN2O
_cell_length_a 7.5755
_cell_length_b 8.6377
_cell_length_c 8.7049
_cell_angle_alpha 86.87
_cell_angle_beta 88.52
_cell_angle_gamma 88.04
_space_group_name_H-M_alt 'P 1'
_space_group_IT_number 1
_space_group_name_Hall 'P 1'
loop_
_atom_site_label
_atom_site_type_symbol
_atom_site_fract_x
_atom_site_fract_y
_atom_site_fract_z
Tm1 Tm 0.0000 0.0000 0.0000
Tm2 Tm 0.0052 0.5378 0.0951
Tm3 Tm 0.4106 0.0029 0.6045
Tm4 Tm 0.4432 0.4606 0.5086
Tm5 Tm 0.4936 0.5546 0.1047
Tm6 Tm 0.5266 0.0113 0.0097
Tm7 Tm 0.9319 0.4764 0.5187
Tm8 Tm 0.9371 0.0143 0.6143
Bi1 Bi 0.2158 0.7863 0.3446
Bi2 Bi 0.2241 0.7058 0.7909
Bi3 Bi 0.2261 0.2823 0.8462
Bi4 Bi 0.2292 0.2168 0.2845
Bi5 Bi 0.7080 0.7978 0.3298
Bi6 Bi 0.7112 0.7318 0.7676
Bi7 Bi 0.7127 0.3086 0.8230
Bi8 Bi 0.7212 0.2284 0.2696
N1 N 0.1629 0.0138 0.4331
N2 N 0.2521 0.1193 0.0684
N3 N 0.2722 0.5023 0.9392
N4 N 0.3514 0.7183 0.5519
N5 N 0.4582 0.8085 0.2017
N6 N 0.4597 0.8291 0.8413
N7 N 0.4776 0.1843 0.7738
N8 N 0.4790 0.2064 0.4128
N9 N 0.5857 0.2966 0.0623
N10 N 0.6646 0.5119 0.6745
N11 N 0.6850 0.8951 0.5460
N12 N 0.7743 0.0008 0.1812
N13 N 0.9581 0.2900 0.9417
N14 N 0.9654 0.6736 0.3203
N15 N 0.9718 0.3410 0.2935
N16 N 0.9790 0.7237 0.6718
O1 O 0.1087 0.7698 0.0202
O2 O 0.1586 0.0256 0.7674
O3 O 0.1839 0.3898 0.6124
O4 O 0.2819 0.4879 0.2787
O5 O 0.6554 0.5272 0.3351
O6 O 0.7534 0.6237 0.0010
O7 O 0.7787 0.9880 0.8469
O8 O 0.8282 0.2444 0.5935
```

Computed properties:
The calculation puts the energy at -6.729 eV per atom.

=====

Record 6
A geometry-optimized TmBiN2O structure, computed with PBE.

Cell and atoms, written as CIF:
```
data_TmBiN2O
_cell_length_a 6.0619
_cell_length_b 6.0619
_cell_length_c 14.5654
_cell_angle_alpha 90.00
_cell_angle_beta 90.00
_cell_angle_gamma 120.00
_space_group_name_H-M_alt 'P 63/m m c'
_space_group_IT_number 194
_space_group_name_Hall '-P 6c 2c'
loop_
_atom_site_label
_atom_site_type_symbol
_atom_site_fract_x
_atom_site_fract_y
_atom_site_fract_z
Tm1 Tm 0.0000 0.0000 0.2500
Tm2 Tm 0.3333 0.6667 0.1460
Bi1 Bi 0.0000 0.0000 0.0000
Bi2 Bi 0.3333 0.6667 0.6370
N1 N 0.1406 0.2812 0.6112
O1 O 0.0400 0.5200 0.2500
```

Computed properties:
The calculation puts the energy at -6.213 eV per atom.

=====

no.,volume (Å³ per cell),M_tot (Bohr magnetons per cell)
1,254.2,0.01
2,140.7,0.00
3,454.3,0.00
4,146.8,0.09
5,568.3,0.00
6,463.5,0.01